The following is a PBE-GGA calculation of a geometry-optimized Sn2Te2Pd3 structure, from Alexandria via LeMat-Bulk.

```
14
Lattice="7.0391 0.0000 0.0000 0.0000 6.9097 0.0000 -1.9796 0.0000 6.6795" Properties=species:S:1:pos:R:3 pbc="T T T"
Sn 0.0734 1.0300 2.4364
Sn -0.9164 2.4249 5.7762
Sn 5.9759 4.4848 0.9033
Sn 4.9861 5.8798 4.2431
Te 1.2610 4.5473 4.1889
Te 2.2508 5.8173 0.8491
Te 2.8087 1.0924 5.8304
Te 3.7985 2.3624 2.4907
Pd 0.2043 0.1417 5.0431
Pd 1.1941 3.3131 1.7034
Pd 2.5298 0.0000 3.3398
Pd 3.5196 3.4549 0.0000
Pd 3.8654 3.5966 4.9762
Pd 4.8552 6.7680 1.6364
```

Summary:
DOS at the Fermi energy = 3.36 states/eV/f.u.
M_tot = 0.0 μB per formula unit
ΔE to the lowest computed polymorph = 0.0 meV/atom
formation energy from raw total energies = -0.39 eV/atom

The following is a PBE-GGA calculation of a geometry-optimized K2LiTlI4 structure, from Alexandria via LeMat-Bulk.

```
16
Lattice="-4.8916 4.9144 6.8827 4.8916 -4.9144 6.8827 4.8916 4.9144 -6.8827" Properties=species:S:1:pos:R:3 pbc="T T T"
K 0.0000 0.0000 0.0000
K -2.4458 2.4572 3.4414
K 0.0000 4.9144 0.0000
K 2.4458 2.4572 3.4414
Li 4.8916 0.0000 0.0000
Li 0.0000 0.0000 6.8827
Tl 2.4458 2.4572 -3.4414
Tl 2.4458 -2.4572 3.4414
I 4.8916 0.0086 3.0711
I 2.6491 2.4572 0.0060
I 7.1341 2.4572 0.0060
I 0.0000 0.0086 3.8116
I 4.8916 4.9057 3.0711
I -2.2425 2.4572 6.8768
I 2.2425 2.4572 6.8768
I 0.0000 4.9057 3.8116
```

Summary:
DOS at the Fermi energy = 0.00 states/eV/f.u.
M_tot = 0.0 μB per formula unit
formation energy from raw total energies = -1.16 eV/atom

The following is a PBE-GGA calculation of a geometry-optimized AcPr2Hf structure, from Alexandria via LeMat-Bulk.

```
4
Lattice="1.7655 1.0193 12.5820 -1.7655 1.0193 12.5820 0.0000 -2.0386 12.5820" Properties=species:S:1:pos:R:3 pbc="T T T"
Ac 0.0000 0.0000 0.0000
Pr 0.0000 0.0000 15.7542
Pr 0.0000 0.0000 21.9918
Hf 0.0000 0.0000 18.8730
```

Summary:
DOS at the Fermi energy = 6.71 states/eV/f.u.
M_tot = 0.0 μB per formula unit
calculated formation energy = 499 meV/atom

The following is a PBE-GGA calculation of a geometry-optimized KCdTeO4 structure, from Alexandria via LeMat-Bulk.

```
14
Lattice="6.0035 0.0000 0.0000 0.0000 6.0971 0.0000 -2.9589 0.0000 7.5406" Properties=species:S:1:pos:R:3 pbc="T T T"
K 0.2574 1.5243 1.2152
K 2.7872 4.5728 6.3254
Cd 0.3741 4.5728 3.5172
Cd 2.6705 1.5243 4.0234
Te -0.3637 1.5243 5.3092
Te 3.4083 4.5728 2.2313
O -2.1971 1.5243 6.0748
O -1.0337 1.5243 3.5568
O 0.9062 0.0723 5.1063
O 0.9062 2.9763 5.1063
O 2.1384 3.1208 2.4342
O 2.1384 6.0248 2.4342
O 4.0783 4.5728 3.9837
O 5.2417 4.5728 1.4658
```

Summary:
DOS at the Fermi energy = 2.49 states/eV/f.u.
M_tot = 0.7 μB per formula unit
formation energy from raw total energies = -1.11 eV/atom

The following is a PBE-GGA calculation of a geometry-optimized Pa2Bi2O structure, from Alexandria via LeMat-Bulk.

```
10
Lattice="2.0724 -7.7235 0.0000 2.0724 7.7235 0.0000 0.0000 0.0000 8.2697" Properties=species:S:1:pos:R:3 pbc="T T T"
Pa 2.0724 7.0451 4.1348
Pa 2.0724 2.0916 2.7725
Pa 2.0724 -2.0916 6.9074
Pa 2.0724 -7.0451 0.0000
Bi 2.0724 3.4122 8.2336
Bi 2.0724 1.1697 5.7666
Bi 2.0724 -1.1697 1.6317
Bi 2.0724 -3.4122 4.0988
O 2.0724 6.3858 6.4829
O 2.0724 -6.3858 2.3480
```

Summary:
DOS at the Fermi energy = 6.19 states/eV/f.u.
M_tot = 2.0 μB per formula unit
formation energy from raw total energies = -1.06 eV/atom

The following is a PBE-GGA calculation of a geometry-optimized Zn4Au3 structure, from Alexandria via LeMat-Bulk.

```
7
Lattice="2.2277 1.2862 7.0751 -2.2277 1.2862 7.0751 0.0000 -2.5724 7.0751" Properties=species:S:1:pos:R:3 pbc="T T T"
Zn 0.0000 0.0000 2.4978
Zn 0.0000 0.0000 7.8939
Zn 0.0000 0.0000 13.3314
Zn 0.0000 0.0000 18.7274
Au 0.0000 0.0000 5.3333
Au 0.0000 0.0000 10.6126
Au 0.0000 0.0000 15.8919
```

Summary:
DOS at the Fermi energy = 2.80 states/eV/f.u.
M_tot = 0.0 μB per formula unit
calculated formation energy = -182 meV/atom
ΔE to the lowest computed polymorph = 5.3 meV/atom